GaBiSe2, relaxed, DFT GGA-PBE; E_tot = -14.2 eV/cell; DOS at the Fermi energy = 1.9 states/eV/cell; ΔE_f (raw) = -0.090 eV per atom; space group = Fm-3m; spin magnetization = 0.00 μB per cell
1.0
0.000 3.642 3.642
3.642 0.000 3.642
3.642 3.642 0.000
Ga Bi Se
1 1 2
Direct
0.000 0.000 0.000
0.500 0.500 0.500
0.250 0.250 0.250
0.750 0.750 0.750


Ga2BiSe, relaxed, DFT GGA-PBE; E_tot = -13.1 eV/cell; DOS at the Fermi energy = 2.3 states/eV/cell; ΔE_f (raw) = 0.078 eV per atom; space group = Fm-3m; spin magnetization = 0.00 μB per cell
1.0
0.000 3.617 3.617
3.617 0.000 3.617
3.617 3.617 0.000
Ga Bi Se
2 1 1
Direct
0.250 0.250 0.250
0.750 0.750 0.750
0.000 0.000 0.000
0.500 0.500 0.500